4
Lattice="4.7306 0.0000 0.0000 0.0000 4.8580 0.0000 0.0000 0.0000 4.8580" Properties=species:S:1:pos:R:3 comment="CeDyPu2 (PBE-GGA, relaxed)" magmom_total_mub_per_cell=12.48 spacegroup="P4/mmm, No. 123" dft_energy_ev_per_atom=-9.623 formation_enthalpy_0k_ev_per_atom=0.1774 pbc="T T T"
Pu 0.0000 2.4290 0.0000
Dy 2.3653 0.0000 0.0000
Pu 0.0000 0.0000 2.4290
Ce 2.3653 2.4290 2.4290

7
Lattice="1.0494 -0.3922 5.0879 0.2108 -4.6882 2.2624 8.7854 -2.1677 0.6881" Properties=species:S:1:pos:R:3 comment="Sm4Hg2Pt (PBE-GGA, relaxed)" magmom_total_mub_per_cell=0.00 spacegroup="R-3m, No. 166" dft_energy_ev_per_atom=-4.146 formation_enthalpy_0k_ev_per_atom=-0.4997 pbc="T T T"
Pt 0.0000 0.0000 0.0000
Sm 8.2774 -3.8086 3.3337
Sm 5.7925 -1.9980 1.3185
Sm 4.2531 -5.2501 6.7200
Sm 1.7682 -3.4396 4.7048
Hg 2.7229 -1.8240 1.9651
Hg 7.3227 -5.4241 6.0734

4
Lattice="7.0103 0.0188 -0.0205 3.9304 5.8049 0.0205 -4.8205 -4.1327 2.9713" Properties=species:S:1:pos:R:3 comment="LiLa2Cl (PBE-GGA, relaxed)" magmom_total_mub_per_cell=0.03 spacegroup="Immm, No. 71" dft_energy_ev_per_atom=-3.890 formation_energy_uncorrected_mev_per_atom=-486 pbc="T T T"
La 4.9196 2.6187 0.0000
Cl 2.2901 2.2920 1.4959
La 0.5507 0.2932 0.0000
Li 3.8301 -0.6010 1.4754

4
Lattice="-1.7910 2.3299 -0.5523 0.7417 -0.6551 -2.8217 -6.6499 -5.2380 -0.5319" Properties=species:S:1:pos:R:3 comment="ZrP2Au (PBE-GGA, relaxed)" magmom_total_mub_per_cell=0.00 spacegroup="Cmm2, No. 35" dft_energy_ev_per_atom=-5.624 formation_enthalpy_0k_ev_per_atom=0.0373 pbc="T T T"
Zr -3.2829 -2.5859 -0.2626
P -6.4377 -5.0709 -0.5150
P -2.4165 -0.6528 -1.8383
Au -5.5369 -3.1107 -2.0879